Record 1
VASP calculation (GGA-PBE) on a relaxed ZnAsRh crystal.

Computed properties:
As for the energy of formation: -0.229 eV per atom.

Lattice parameters (Å, degrees): 3.1128 3.1128 5.9154 90.00 90.00 120.00
Closest atoms and distances in Å follow each position.
Positions (direct):
Zn  0.0000  0.0000  0.0000  3 Rh 2.65, 3 As 2.93
As  0.6667  0.3333  0.3902  3 Rh 2.45
Rh  0.3333  0.6667  0.6714  3 As 2.45, 3 Zn 2.65

Record 2
VASP calculation (GGA-PBE) on a relaxed Rb2NpPb2O6 crystal.

Computed properties:
The calculation puts the formation energy from raw total energies at -1901 meV/atom.

Lattice parameters (Å, degrees): 6.2275 6.2275 6.9577 99.23 99.23 115.31
Closest atoms and distances in Å follow each position.
Positions (direct):
Rb  0.1829  0.8171  0.0000  6 O 2.86-3.10
Rb  0.8171  0.1829  0.0000  6 O 2.86-3.10
Np  0.0000  0.0000  0.5000  6 O 1.97-2.18
Pb  0.3301  0.6699  0.5000  4 O 2.37-2.65
Pb  0.6699  0.3301  0.5000  4 O 2.37-2.65
O  0.0419  0.3473  0.6696  1 Np 2.18, 1 Pb 2.37
O  0.1687  0.1687  0.3105  1 Np 1.97
O  0.3473  0.0419  0.6696  1 Np 2.18, 1 Pb 2.37
O  0.6527  0.9581  0.3304  1 Np 2.18, 1 Pb 2.37
O  0.8313  0.8313  0.6895  1 Np 1.97
O  0.9581  0.6527  0.3304  1 Np 2.18, 1 Pb 2.37

Record 3
VASP calculation (GGA-PBE) on a relaxed In2TeS crystal.

Computed properties:
The excess energy over the best structure of this formula in the dataset is 0.0000 eV/atom. The calculation puts the formation energy from raw total energies at -331 meV/atom.

Lattice parameters (Å, degrees): 4.3375 4.3375 9.6656 90.00 90.00 120.00
Closest atoms and distances in Å follow each position.
Positions (direct):
In  0.0000  0.0000  0.0000  3 S 2.88
In  0.3333  0.6667  0.3974  1 S 2.43
Te  0.0000  0.0000  0.5411  3 In 2.86
S  0.3333  0.6667  0.1463  1 In 2.43

Record 4
VASP calculation (GGA-PBE) on a relaxed Pm5PrDyY2 crystal.

Computed properties:
As for the energy of formation: 0.146 eV per atom.

Lattice parameters (Å, degrees): 10.5687 10.5687 10.6536 90.00 90.00 148.55
Closest atoms and distances in Å follow each position.
Positions (direct):
Pm  0.0180  0.9820  0.5000  2 Pr 3.27, 3 Y 3.48-3.64
Pm  0.2810  0.7190  0.7898  1 Pr 3.09, 1 Y 3.35
Pm  0.2970  0.7030  0.1837  4 Pm 3.46-3.86, 3 Dy 3.54-3.79, 3 Y 3.58-3.75, 1 Pr 3.59
Pm  0.3889  0.6111  0.5012  6 Pm 3.53-3.89, 4 Y 3.59-3.63, 1 Dy 3.84
Pm  0.4790  0.5210  0.2184  2 Pr 3.15-3.34
Pm  0.5210  0.4790  0.7184  2 Pr 3.15-3.34
Pm  0.6111  0.3889  0.0012  6 Pm 3.53-3.89, 4 Y 3.59-3.63, 1 Dy 3.84
Pm  0.7030  0.2970  0.6837  4 Pm 3.46-3.86, 3 Dy 3.54-3.79, 3 Y 3.58-3.75, 1 Pr 3.59
Pm  0.7190  0.2810  0.2898  1 Pr 3.09, 1 Y 3.35
Pm  0.9820  0.0180  0.0000  2 Pr 3.27, 3 Y 3.48-3.64
Pr  0.4134  0.5866  0.9307  5 Pm 3.09-3.34
Pr  0.5866  0.4134  0.4307  5 Pm 3.09-3.34
Dy  0.2005  0.7995  0.4881  2 Y 3.45-3.72, 8 Pm 3.54-3.84, 2 Pr 3.74
Dy  0.7995  0.2005  0.9881  2 Y 3.45-3.72, 8 Pm 3.54-3.84, 2 Pr 3.74
Y  0.1130  0.8870  0.2103  1 Dy 3.45, 7 Pm 3.48-3.75, 2 Pr 3.74
Y  0.1164  0.8836  0.7985  8 Pm 3.35-3.59, 1 Dy 3.72
Y  0.8836  0.1164  0.2985  8 Pm 3.35-3.59, 1 Dy 3.72
Y  0.8870  0.1130  0.7103  1 Dy 3.45, 7 Pm 3.48-3.75, 2 Pr 3.74

Record-wise DFT total energy values, in eV per atom: -4.65; -6.63; -3.52; -4.97